Record 1
{"formula": "YHf2Ag", "functional": "PBE", "state": "optimized geometry", "cell": [[8.154, 0.000, 0.000], [0.000, 8.154, 0.000], [4.077, 4.077, 2.979]], "species": ["Hf", "Hf", "Hf", "Hf", "Y", "Y", "Ag", "Ag"], "fractional_positions": [[0.875, 0.922, 0.750], [0.672, 0.125, 0.250], [0.375, 0.328, 0.750], [0.078, 0.625, 0.250], [0.500, 0.500, 0.000], [0.250, 0.750, 0.500], [0.750, 0.250, 0.500], [0.000, 0.000, 0.000]], "space_group": "I-42d (122)", "formation_enthalpy_0k_kj_per_mol_atoms": 41.2}


Record 2
{"formula": "YHfAg", "functional": "PBE", "state": "optimized geometry", "cell": [[0.000, 3.391, 3.391], [3.391, 0.000, 3.391], [3.391, 3.391, 0.000]], "species": ["Ag", "Y", "Hf"], "fractional_positions": [[0.750, 0.750, 0.750], [0.250, 0.250, 0.250], [0.500, 0.500, 0.500]], "space_group": "F-43m (216)", "formation_enthalpy_0k_kj_per_mol_atoms": 80.4}


Record 3
{"formula": "YHfAg", "functional": "PBE", "state": "optimized geometry", "cell": [[-1.241, -2.239, -2.154], [-1.882, -2.188, 5.961], [-6.242, 2.575, 0.929]], "species": ["Y", "Y", "Hf", "Hf", "Ag", "Ag"], "fractional_positions": [[0.005, 0.182, 0.958], [0.694, 0.559, 0.602], [0.684, 0.541, 0.123], [0.015, 0.202, 0.436], [0.350, 0.872, 0.779], [0.349, 0.871, 0.281]], "space_group": "Cm (8)", "formation_enthalpy_0k_kj_per_mol_atoms": -3.9}


Record 4
{"formula": "YHf2Ag2", "functional": "PBE", "state": "optimized geometry", "cell": [[8.537, 0.000, 0.000], [0.000, 8.537, 0.000], [0.000, 0.000, 3.024]], "species": ["Hf", "Hf", "Hf", "Hf", "Y", "Y", "Ag", "Ag", "Ag", "Ag"], "fractional_positions": [[0.126, 0.374, 0.000], [0.374, 0.874, 0.000], [0.874, 0.626, 0.000], [0.626, 0.126, 0.000], [0.000, 0.000, 0.000], [0.500, 0.500, 0.000], [0.328, 0.172, 0.500], [0.828, 0.328, 0.500], [0.172, 0.672, 0.500], [0.672, 0.828, 0.500]], "space_group": "P4/mbm (127)", "formation_enthalpy_0k_kj_per_mol_atoms": 15.1}


| no. | relative energy among the computed polymorphs (meV/atom) |
| --- | --- |
| 1 | 66 |
| 2 | 952 |
| 3 | 79 |
| 4 | 57 |